No. 1
The following is a DFT calculation (PBE) of a relaxed Dy2Pd8Pb crystal.

Results
Energy relative to the elements   -0.556 eV/atom

Cell lengths 4.7345, 6.0165, 8.1890 Å; angles 111.63, 106.80, 90.00 degrees
Last column: nearest neighbours and their distance in Å.
Sites, in units of the cell vectors:
Dy  0.8126  0.3127  0.6252  12 Pd 2.83-3.07
Dy  0.1874  0.6873  0.3748  12 Pd 2.83-3.07
Pd  0.3546  0.5904  0.7092  1 Pb 2.63, 3 Dy 2.83-2.90, 4 Pd 2.84-2.90
Pd  0.6450  0.8807  0.2901  1 Pb 2.63, 3 Dy 2.83-2.90, 4 Pd 2.84-2.91
Pd  0.8202  0.8205  0.6404  8 Pd 2.89-3.04, 4 Dy 3.01-3.05
Pd  0.0001  0.2608  0.0002  2 Pb 2.84, 8 Pd 2.88-3.17, 2 Dy 3.07
Pd  0.1798  0.1795  0.3596  8 Pd 2.89-3.04, 4 Dy 3.01-3.05
Pd  0.3550  0.1193  0.7099  1 Pb 2.63, 3 Dy 2.83-2.90, 4 Pd 2.84-2.91
Pd  0.6454  0.4096  0.2908  1 Pb 2.63, 3 Dy 2.83-2.90, 4 Pd 2.84-2.90
Pd  0.9999  0.7392  0.9998  2 Pb 2.84, 8 Pd 2.88-3.17, 2 Dy 3.07
Pb  0.5000  0.0000  0.0000  8 Pd 2.63-2.84

No. 2
The following is a DFT calculation (PBE) of a relaxed CeGdRu2 crystal.

Results
Energy relative to the elements   -0.309 eV/atom
Relative energy among the computed polymorphs   33 meV/atom

Cell lengths 4.8708, 4.8708, 4.8708 Å; angles 60.00, 60.00, 60.00 degrees
Last column: nearest neighbours and their distance in Å.
Sites, in units of the cell vectors:
Ru  0.2500  0.2500  0.2500  4 Gd 2.98, 4 Ce 2.98
Ru  0.7500  0.7500  0.7500  4 Gd 2.98, 4 Ce 2.98
Gd  0.5000  0.5000  0.5000  8 Ru 2.98
Ce  0.0000  0.0000  0.0000  8 Ru 2.98

No. 3
The following is a DFT calculation (PBE) of a relaxed Zn11Ir2 crystal.

Results
Energy relative to the elements   -0.179 eV/atom

Cell lengths 7.9309, 7.9309, 7.9309 Å; angles 109.47, 109.47, 109.47 degrees
Last column: nearest neighbours and their distance in Å.
Sites, in units of the cell vectors:
Ir  0.0000  0.0000  0.3489  12 Zn 2.59-2.81
Ir  0.6511  0.6511  0.6511  12 Zn 2.59-2.81
Ir  0.3489  0.0000  0.0000  12 Zn 2.59-2.81
Ir  0.0000  0.3489  0.0000  12 Zn 2.59-2.81
Zn  0.0000  0.0000  0.7915  9 Zn 2.67-2.70, 3 Ir 2.71
Zn  0.2085  0.2085  0.2085  9 Zn 2.67-2.70, 3 Ir 2.71
Zn  0.7915  0.0000  0.0000  9 Zn 2.67-2.70, 3 Ir 2.71
Zn  0.0000  0.7915  0.0000  9 Zn 2.67-2.70, 3 Ir 2.71
Zn  0.0000  0.6432  0.6432  9 Zn 2.62-2.87, 2 Ir 2.81
Zn  0.0000  0.3568  0.3568  9 Zn 2.62-2.87, 2 Ir 2.81
Zn  0.6432  0.0000  0.6432  9 Zn 2.62-2.87, 2 Ir 2.81
Zn  0.3568  0.0000  0.3568  9 Zn 2.62-2.87, 2 Ir 2.81
Zn  0.3568  0.3568  0.0000  9 Zn 2.62-2.87, 2 Ir 2.81
Zn  0.6432  0.6432  0.0000  9 Zn 2.62-2.87, 2 Ir 2.81
Zn  0.7379  0.7379  0.3884  2 Ir 2.59-2.62, 8 Zn 2.67-2.87
Zn  0.3495  0.3495  0.6116  2 Ir 2.59-2.62, 8 Zn 2.67-2.87
Zn  0.6505  0.2621  0.0000  2 Ir 2.59-2.62, 8 Zn 2.67-2.87
Zn  0.2621  0.6505  0.0000  2 Ir 2.59-2.62, 8 Zn 2.67-2.87
Zn  0.0000  0.2621  0.6505  2 Ir 2.59-2.62, 8 Zn 2.67-2.87
Zn  0.0000  0.6505  0.2621  2 Ir 2.59-2.62, 8 Zn 2.67-2.87
Zn  0.6116  0.3495  0.3495  2 Ir 2.59-2.62, 8 Zn 2.67-2.87
Zn  0.3884  0.7379  0.7379  2 Ir 2.59-2.62, 8 Zn 2.67-2.87
Zn  0.2621  0.0000  0.6505  2 Ir 2.59-2.62, 8 Zn 2.67-2.87
Zn  0.6505  0.0000  0.2621  2 Ir 2.59-2.62, 8 Zn 2.67-2.87
Zn  0.7379  0.3884  0.7379  2 Ir 2.59-2.62, 8 Zn 2.67-2.87
Zn  0.3495  0.6116  0.3495  2 Ir 2.59-2.62, 8 Zn 2.67-2.87

No. 4
The following is a DFT calculation (PBE) of a relaxed Li3SnTe4 crystal.

Results
Energy relative to the elements, uncorrected   -0.55 eV/atom

Cell lengths 7.6901, 8.3507, 7.9442 Å; angles 90.00, 90.00, 90.00 degrees
Last column: nearest neighbours and their distance in Å.
Sites, in units of the cell vectors:
Li  0.5072  0.8609  0.0000  4 Te 2.70-2.77
Li  0.9834  0.6632  0.2393  4 Te 2.76-2.84
Li  0.4834  0.3368  0.2607  4 Te 2.76-2.84
Li  0.0072  0.1391  0.5000  4 Te 2.70-2.77
Li  0.4834  0.3368  0.7393  4 Te 2.76-2.84
Li  0.9834  0.6632  0.7607  4 Te 2.76-2.84
Sn  0.0040  0.1746  0.0000  4 Te 2.78-2.80
Sn  0.5040  0.8254  0.5000  4 Te 2.78-2.80
Te  0.1470  0.8664  0.0000  3 Li 2.77-2.84, 1 Sn 2.80
Te  0.6409  0.1601  0.0000  3 Li 2.70-2.82, 1 Sn 2.79
Te  0.1247  0.3577  0.2686  3 Li 2.74-2.78, 1 Sn 2.78
Te  0.6247  0.6423  0.2314  3 Li 2.74-2.78, 1 Sn 2.78
Te  0.1409  0.8399  0.5000  3 Li 2.70-2.82, 1 Sn 2.79
Te  0.6470  0.1336  0.5000  3 Li 2.77-2.84, 1 Sn 2.80
Te  0.6247  0.6423  0.7686  3 Li 2.74-2.78, 1 Sn 2.78
Te  0.1247  0.3577  0.7314  3 Li 2.74-2.78, 1 Sn 2.78

No. 5
The following is a DFT calculation (PBE) of a relaxed Ca2ZnAs crystal.

Results
Energy relative to the elements   -0.333 eV/atom
Relative energy among the computed polymorphs   421 meV/atom

Cell lengths 3.6597, 3.6597, 8.1342 Å; angles 90.00, 90.00, 90.01 degrees
Last column: nearest neighbours and their distance in Å.
Sites, in units of the cell vectors:
As  0.5000  0.5000  0.7020  4 Zn 2.87, 5 Ca 3.04-3.14
Ca  0.0000  0.0000  0.9212  1 Zn 3.03, 4 As 3.14
Ca  0.5000  0.5000  0.3285  1 As 3.04, 4 Zn 3.15
Zn  0.0000  0.0000  0.5483  4 As 2.87, 5 Ca 3.03-3.15

No. 6
The following is a DFT calculation (PBE) of a relaxed EuMgInGa crystal.

Results
Energy relative to the elements   -0.351 eV/atom

Cell lengths 5.1724, 5.1724, 5.1724 Å; angles 60.00, 60.00, 60.00 degrees
Last column: nearest neighbours and their distance in Å.
Sites, in units of the cell vectors:
Eu  0.0000  0.0000  0.0000  4 In 3.17, 4 Ga 3.17
Mg  0.5000  0.5000  0.5000  4 In 3.17, 4 Ga 3.17
Ga  0.2500  0.2500  0.2500  4 Mg 3.17, 4 Eu 3.17
In  0.7500  0.7500  0.7500  4 Eu 3.17, 4 Mg 3.17

no.,total moment (μB per atom)
1,0.0000
2,1.7449
3,0.0000
4,0.0000
5,0.0000
6,1.7495